[1]
LiPmCo after structural relaxation, computed with PBE.

ΔE to the lowest computed polymorph (meV/atom): 82.0
Calculated formation energy (eV per atom): 0.04
DFT total energy (eV per atom): -4.55
Volume (Å³/f.u.): 63.91

a = 6.694 Å, b = 6.694 Å, c = 5.199 Å
α = 98.38°, β = 98.38°, γ = 33.73°
Sites, in units of the cell vectors:
Li  0.089  0.089  0.320
Li  0.911  0.911  0.680
Pm  0.365  0.365  0.150
Pm  0.635  0.635  0.850
Co  0.263  0.263  0.608
Co  0.737  0.737  0.392



[2]
Tb5Er6Sc after structural relaxation, computed with PBE.

Calculated formation energy (eV per atom): 0.03
DFT total energy (eV per atom): -4.71
Volume (Å³/f.u.): 366.71

a = 9.293 Å, b = 9.293 Å, c = 4.958 Å
α = 105.44°, β = 105.44°, γ = 106.82°
Sites, in units of the cell vectors:
Tb  0.000  0.000  0.000
Tb  0.166  0.834  0.500
Tb  0.336  0.664  0.000
Tb  0.664  0.336  0.000
Tb  0.834  0.166  0.500
Er  0.086  0.418  0.252
Er  0.254  0.254  0.754
Er  0.418  0.086  0.252
Er  0.582  0.914  0.748
Er  0.746  0.746  0.246
Er  0.914  0.582  0.748
Sc  0.500  0.500  0.500